The following is a GGA-PBE calculation of AsIBrO2 after structural relaxation, from the Alexandria database.

Calculated values
E_form (uncorrected) (eV per atom): -0.017
Polymorph energy (0 for the lowest one) (meV/atom): 0

Lattice parameters (Å, degrees): 3.966 3.966 6.707 90.00 90.00 90.00
Sites, in units of the cell vectors:
As1 0.000 0.000 0.000
I1 0.000 0.000 0.500
Br1 0.500 0.500 0.500
O1 0.000 0.500 0.000
O2 0.500 0.000 0.000